[1]
Density functional theory data (PBE) for crystalline Tb3Pr3Sm2 at its relaxed geometry.

Output
Crystal system ... orthorhombic
ΔH_f (0 K) ... 0.02 eV per atom

a = 5.128 Å, b = 5.142 Å, c = 10.915 Å
α = 103.62°, β = 103.59°, γ = 90.00°
Fractional positions:
Tb 0.626 0.626 0.251
Tb 0.374 0.374 0.749
Tb 0.500 0.000 0.000
Pr 0.125 0.125 0.249
Pr 0.000 0.500 0.000
Pr 0.875 0.875 0.751
Sm 0.751 0.251 0.501
Sm 0.249 0.749 0.499

=====

[2]
Density functional theory data (PBE) for crystalline Tb3Pr6Sm2 at its relaxed geometry.

Output
Energy above the most stable polymorph in this dataset ... 0.267 eV per atom
Crystal system ... tetragonal
ΔH_f (0 K) ... 0.28 eV per atom

a = 4.798 Å, b = 4.798 Å, c = 17.609 Å
α = 97.83°, β = 97.83°, γ = 90.00°
Fractional positions:
Tb 0.000 0.000 0.000
Tb 0.806 0.806 0.613
Tb 0.194 0.194 0.387
Pr 0.120 0.620 0.241
Pr 0.620 0.120 0.241
Pr 0.880 0.380 0.759
Pr 0.380 0.880 0.759
Pr 0.707 0.707 0.414
Pr 0.293 0.293 0.586
Sm 0.455 0.455 0.911
Sm 0.545 0.545 0.089

=====

[3]
Density functional theory data (PBE) for crystalline TbPr3Sm5 at its relaxed geometry.

Output
Crystal system ... monoclinic
ΔH_f (0 K) ... 0.49 eV per atom

a = 9.705 Å, b = 9.705 Å, c = 11.897 Å
α = 52.35°, β = 52.35°, γ = 73.94°
Fractional positions:
Tb 0.159 0.159 0.594
Tb 0.841 0.841 0.406
Pr 0.690 0.690 0.815
Pr 0.664 0.664 0.352
Pr 0.000 0.000 0.000
Pr 0.000 0.000 0.500
Pr 0.310 0.310 0.185
Pr 0.336 0.336 0.648
Sm 0.841 0.338 0.257
Sm 0.254 0.746 0.000
Sm 0.822 0.822 0.953
Sm 0.498 0.498 0.227
Sm 0.502 0.502 0.773
Sm 0.178 0.178 0.047
Sm 0.338 0.841 0.257
Sm 0.746 0.254 0.000
Sm 0.159 0.662 0.743
Sm 0.662 0.159 0.743